Below is a relaxed Ac2AgO4 crystal, with properties calculated at the PBE level.

a b c (Å): 4.1298 4.1298 7.4173
angles (deg): 106.16 106.16 90.00
Positions (direct):
Ac 0.6384 0.6384 0.2768
Ac 0.3616 0.3616 0.7232
O 0.8100 0.8100 0.6200
O 0.0000 0.5000 0.0000
O 0.5000 0.0000 0.0000
O 0.1900 0.1900 0.3800
Ag 0.0000 0.0000 0.0000

## Properties
ΔE_f (raw)	-2.2388	eV/atom
excess energy over the best structure of this formula in the dataset	218	meV/atom
symmetry	No. 139